No. 1
A relaxed MgAgPd4 crystal. Source: the Alexandria database, functional GGA-PBE.

```
MgAgPd4
1.0
-1.7032 -1.6667 4.7005
-2.9221 -4.3721 0.3452
2.0319 -4.3650 2.1428
Mg Pd Ag
1 4 1
direct
0.2500 0.2500 0.2500 Mg
0.6250 0.6250 0.1250 Pd
0.6250 0.1250 0.6250 Pd
0.6250 0.6250 0.6250 Pd
0.1250 0.6250 0.6250 Pd
0.0000 0.0000 0.0000 Ag
```

Values from the calculation:
Energy relative to the elements = -0.1713 eV/atom
E_tot = -26.24 eV per cell

=====

No. 2
A relaxed Ho2Er8Mg crystal. Source: the Alexandria database, functional GGA-PBE.

```
Ho2Er8Mg
1.0
-5.2750 1.1695 -0.6525
-0.3892 -4.8424 -5.5329
0.7759 -4.3406 8.6445
Ho Er Mg
2 8 1
direct
0.1936 0.6936 0.3873 Ho
0.8064 0.3064 0.6127 Ho
0.6383 0.8739 0.2767 Er
0.3616 0.5973 0.7232 Er
0.1816 0.1816 0.3633 Er
0.0000 0.2548 0.0000 Er
0.8184 0.8184 0.6367 Er
0.6384 0.4027 0.2768 Er
0.3617 0.1261 0.7233 Er
0.0000 0.7452 0.0000 Er
0.5000 0.0000 0.0000 Mg
```

Values from the calculation:
Energy relative to the elements = 0.1066 eV/atom
E_tot = -46.08 eV per cell

=====

No. 3
A relaxed TaSi2Mo crystal. Source: the Alexandria database, functional GGA-PBE.

```
TaSi2Mo
1.0
8.4090 -0.0159 -0.0093
7.9011 2.8783 -0.0093
7.9011 1.3866 2.5222
Mo Si Ta
1 2 1
direct
0.7500 0.7500 0.7500 Mo
0.0044 0.0044 0.0044 Si
0.4956 0.4956 0.4956 Si
0.2500 0.2500 0.2500 Ta
```

Values from the calculation:
ΔE_f (raw) = -0.050 eV per atom
E_tot = -33.73 eV per cell

=====

Which of these has the lowest E_tot? Ho2Er8Mg

=====

Look up the E_tot of the second one. -46.08 eV per cell

=====

Repeat the third record exactly.
A relaxed TaSi2Mo crystal. Source: the Alexandria database, functional GGA-PBE.

```
TaSi2Mo
1.0
8.4090 -0.0159 -0.0093
7.9011 2.8783 -0.0093
7.9011 1.3866 2.5222
Mo Si Ta
1 2 1
direct
0.7500 0.7500 0.7500 Mo
0.0044 0.0044 0.0044 Si
0.4956 0.4956 0.4956 Si
0.2500 0.2500 0.2500 Ta
```

Values from the calculation:
ΔE_f (raw) = -0.050 eV per atom
E_tot = -33.73 eV per cell

=====

E_tot of number 1 (MgAgPd4)? -26.24 eV per cell